Record 1
! PBE Ac4Nd2Sm, relaxed; values from VASP
! N(E_F): 12.64 states/eV per cell
! E_tot: -28.99 eV/cell
! Energy relative to the elements: 0.243 eV per atom
! Theoretical density: 7.59 g/cm³
&SYSTEM
  ibrav = 0, nat = 7, ntyp = 3
/
ATOMIC_SPECIES
Ac 227.00 Ac.upf
Nd 144.24 Nd.upf
Sm 150.36 Sm.upf
ATOMIC_POSITIONS crystal
Ac 0.158 0.158 0.016
Ac 0.172 0.172 0.561
Ac 0.828 0.828 0.439
Ac 0.842 0.842 0.984
Nd 0.487 0.487 0.325
Nd 0.513 0.513 0.675
Sm 0.500 0.500 0.000
CELL_PARAMETERS angstrom
6.529 -3.046 0.000
6.529 3.046 0.000
-5.262 0.000 7.409

Record 2
! PBE KSn3, relaxed; values from VASP
! N(E_F): 0.76 states/eV per cell
! E_tot: -13.69 eV/cell
! Energy relative to the elements: -0.146 eV per atom
! Theoretical density: 4.66 g/cm³
&SYSTEM
  ibrav = 0, nat = 4, ntyp = 2
/
ATOMIC_SPECIES
K 39.10 K.upf
Sn 118.71 Sn.upf
ATOMIC_POSITIONS crystal
K 0.000 0.000 0.000
Sn 0.000 0.500 0.558
Sn 0.500 0.000 0.558
Sn 0.500 0.500 0.256
CELL_PARAMETERS angstrom
4.504 0.000 0.000
0.000 4.504 0.000
0.000 0.000 6.941